1.
A plane-wave DFT calculation with PBE-GGA was carried out for a relaxed structure of Pm2GaCoH. Values from VASP.

Results
Raw total energy = -0.368 Ry/atom
V = 96 Å³/f.u.

Cell and atoms, written as Quantum ESPRESSO input:
```
&SYSTEM
  ibrav = 0, nat = 10, ntyp = 4
/
ATOMIC_SPECIES
Pm 145.00 Pm.upf
Ga 69.72 Ga.upf
Co 58.93 Co.upf
H 1.01 H.upf
ATOMIC_POSITIONS crystal
Pm 0.229 0.250 0.414
Pm 0.240 0.250 0.970
Pm 0.760 0.750 0.030
Pm 0.771 0.750 0.586
Ga 0.329 0.750 0.709
Ga 0.671 0.250 0.291
Co 0.443 0.750 0.236
Co 0.557 0.250 0.764
H 0.166 0.750 0.175
H 0.834 0.250 0.825
CELL_PARAMETERS angstrom
6.072 0.000 0.000
0.000 4.220 0.000
-1.937 0.000 7.519
```

---

2.
A plane-wave DFT calculation with PBE-GGA was carried out for a relaxed structure of Ba2CuH. Values from VASP.

Results
Raw total energy = -0.209 Ry/atom
V = 130 Å³/f.u.

Cell and atoms, written as Quantum ESPRESSO input:
```
&SYSTEM
  ibrav = 0, nat = 16, ntyp = 3
/
ATOMIC_SPECIES
Ba 137.33 Ba.upf
Cu 63.55 Cu.upf
H 1.01 H.upf
ATOMIC_POSITIONS crystal
Ba 0.188 0.250 0.125
Ba 0.250 0.688 0.375
Ba 0.250 0.812 0.875
Ba 0.312 0.250 0.625
Ba 0.688 0.750 0.625
Ba 0.750 0.188 0.875
Ba 0.750 0.312 0.375
Ba 0.812 0.750 0.125
Cu 0.000 0.000 0.500
Cu 0.000 0.500 0.750
Cu 0.500 0.000 0.250
Cu 0.500 0.500 0.000
H 0.000 0.000 0.000
H 0.000 0.500 0.250
H 0.500 0.000 0.750
H 0.500 0.500 0.500
CELL_PARAMETERS angstrom
7.611 0.000 0.000
0.000 7.611 0.000
0.000 0.000 8.992
```

---

3.
A plane-wave DFT calculation with PBE-GGA was carried out for a relaxed structure of HfVGe2Pb. Values from VASP.

Results
Raw total energy = -0.331 Ry/atom
Formation energy = 1902 meV/atom
V = 148 Å³/f.u.

Cell and atoms, written as Quantum ESPRESSO input:
```
&SYSTEM
  ibrav = 0, nat = 5, ntyp = 4
/
ATOMIC_SPECIES
Hf 178.49 Hf.upf
V 50.94 V.upf
Ge 72.64 Ge.upf
Pb 207.20 Pb.upf
ATOMIC_POSITIONS crystal
Hf 0.000 0.000 0.000
V 0.500 0.500 0.000
Ge 0.000 0.500 0.500
Ge 0.500 0.000 0.500
Pb 0.000 0.000 0.500
CELL_PARAMETERS angstrom
5.199 0.000 0.000
0.000 5.199 0.000
0.000 0.000 5.459
```

---

4.
A plane-wave DFT calculation with PBE-GGA was carried out for a relaxed structure of Cd5In3Hg16. Values from VASP.

Results
Raw total energy = -0.051 Ry/atom
Formation energy = 38 meV/atom
V = 658 Å³/f.u.

Cell and atoms, written as Quantum ESPRESSO input:
```
&SYSTEM
  ibrav = 0, nat = 24, ntyp = 3
/
ATOMIC_SPECIES
Cd 112.41 Cd.upf
In 114.82 In.upf
Hg 200.59 Hg.upf
ATOMIC_POSITIONS crystal
Cd 0.000 0.000 0.000
Cd 0.052 0.671 0.825
Cd 0.377 0.377 0.347
Cd 0.561 0.561 0.513
Cd 0.671 0.052 0.825
In 0.199 0.199 0.838
In 0.508 0.913 0.317
In 0.913 0.508 0.317
Hg 0.007 0.007 0.658
Hg 0.101 0.691 0.172
Hg 0.160 0.160 0.163
Hg 0.191 0.817 0.395
Hg 0.211 0.211 0.508
Hg 0.357 0.357 0.010
Hg 0.384 0.754 0.890
Hg 0.408 0.408 0.681
Hg 0.484 0.889 0.668
Hg 0.564 0.564 0.156
Hg 0.691 0.101 0.172
Hg 0.748 0.748 0.013
Hg 0.754 0.384 0.890
Hg 0.817 0.191 0.395
Hg 0.822 0.822 0.504
Hg 0.889 0.484 0.668
CELL_PARAMETERS angstrom
6.667 -3.958 0.000
6.667 3.958 0.000
-0.017 0.000 12.475
```

---

5.
A plane-wave DFT calculation with PBE-GGA was carried out for a relaxed structure of Rb3Pu2CrSe6. Values from VASP.

Results
Uncorrected formation energy = -1.191 eV per atom
Raw total energy = -0.468 Ry/atom
V = 359 Å³/f.u.

Cell and atoms, written as Quantum ESPRESSO input:
```
&SYSTEM
  ibrav = 0, nat = 12, ntyp = 4
/
ATOMIC_SPECIES
Rb 85.47 Rb.upf
Pu 244.00 Pu.upf
Cr 52.00 Cr.upf
Se 78.96 Se.upf
ATOMIC_POSITIONS crystal
Rb 0.000 0.000 0.000
Rb 0.330 0.670 0.000
Rb 0.670 0.330 0.000
Pu 0.166 0.834 0.500
Pu 0.834 0.166 0.500
Cr 0.500 0.500 0.500
Se 0.125 0.438 0.313
Se 0.250 0.250 0.689
Se 0.438 0.125 0.313
Se 0.562 0.875 0.687
Se 0.750 0.750 0.311
Se 0.875 0.562 0.687
CELL_PARAMETERS angstrom
3.611 -6.259 0.000
3.611 6.259 0.000
-2.419 0.000 7.933
```

---

6.
A plane-wave DFT calculation with PBE-GGA was carried out for a relaxed structure of NaSnSb2. Values from VASP.

Results
Uncorrected formation energy = -0.027 eV per atom
Raw total energy = -0.251 Ry/atom
V = 122 Å³/f.u.

Cell and atoms, written as Quantum ESPRESSO input:
```
&SYSTEM
  ibrav = 0, nat = 12, ntyp = 3
/
ATOMIC_SPECIES
Na 22.99 Na.upf
Sn 118.71 Sn.upf
Sb 121.76 Sb.upf
ATOMIC_POSITIONS crystal
Na 0.000 0.000 0.000
Na 0.333 0.667 0.667
Na 0.667 0.333 0.333
Sn 0.000 0.000 0.834
Sn 0.333 0.667 0.500
Sn 0.667 0.333 0.167
Sb 0.000 0.000 0.240
Sb 0.000 0.000 0.427
Sb 0.333 0.667 0.093
Sb 0.333 0.667 0.907
Sb 0.667 0.333 0.574
Sb 0.667 0.333 0.760
CELL_PARAMETERS angstrom
4.079 0.000 0.000
-2.039 3.532 0.000
0.000 0.000 25.405
```

---

7.
A plane-wave DFT calculation with PBE-GGA was carried out for a relaxed structure of Rb2Ge2Au. Values from VASP.

Results
Raw total energy = -0.212 Ry/atom
Formation energy = 9 meV/atom
V = 185 Å³/f.u.

Cell and atoms, written as Quantum ESPRESSO input:
```
&SYSTEM
  ibrav = 0, nat = 10, ntyp = 3
/
ATOMIC_SPECIES
Rb 85.47 Rb.upf
Ge 72.64 Ge.upf
Au 196.97 Au.upf
ATOMIC_POSITIONS crystal
Rb 0.000 0.500 0.250
Rb 0.000 0.500 0.750
Rb 0.500 0.000 0.250
Rb 0.500 0.000 0.750
Ge 0.000 0.000 0.156
Ge 0.000 0.000 0.844
Ge 0.500 0.500 0.344
Ge 0.500 0.500 0.656
Au 0.000 0.000 0.500
Au 0.500 0.500 0.000
CELL_PARAMETERS angstrom
7.061 0.000 0.000
0.000 7.061 0.000
0.000 0.000 7.410
```

---

8.
A plane-wave DFT calculation with PBE-GGA was carried out for a relaxed structure of NaLi2RuF8. Values from VASP.

Results
Uncorrected formation energy = -2.126 eV per atom
Raw total energy = -0.336 Ry/atom
V = 154 Å³/f.u.

Cell and atoms, written as Quantum ESPRESSO input:
```
&SYSTEM
  ibrav = 0, nat = 12, ntyp = 4
/
ATOMIC_SPECIES
Na 22.99 Na.upf
Li 6.94 Li.upf
Ru 101.07 Ru.upf
F 19.00 F.upf
ATOMIC_POSITIONS crystal
Na 0.000 0.000 0.000
Li 0.250 0.750 0.500
Li 0.500 0.500 0.000
Ru 0.750 0.250 0.500
F 0.011 0.336 0.325
F 0.011 0.686 0.675
F 0.124 0.353 0.771
F 0.314 0.989 0.325
F 0.583 0.353 0.229
F 0.647 0.417 0.771
F 0.647 0.876 0.229
F 0.664 0.989 0.675
CELL_PARAMETERS angstrom
-3.505 3.505 3.127
3.505 -3.505 3.127
3.505 3.505 -3.127
```

---

9.
A plane-wave DFT calculation with PBE-GGA was carried out for a relaxed structure of Sr3Pm3MgS8. Values from VASP.

Results
Uncorrected formation energy = -1.969 eV per atom
Raw total energy = -0.409 Ry/atom
V = 394 Å³/f.u.

Cell and atoms, written as Quantum ESPRESSO input:
```
&SYSTEM
  ibrav = 0, nat = 15, ntyp = 4
/
ATOMIC_SPECIES
Sr 87.62 Sr.upf
Pm 145.00 Pm.upf
Mg 24.30 Mg.upf
S 32.06 S.upf
ATOMIC_POSITIONS crystal
Sr 0.000 0.500 0.500
Sr 0.500 0.000 0.500
Sr 0.500 0.500 0.000
Pm 0.000 0.000 0.500
Pm 0.000 0.500 0.000
Pm 0.500 0.000 0.000
Mg 0.500 0.500 0.500
S 0.246 0.246 0.246
S 0.255 0.733 0.733
S 0.267 0.267 0.745
S 0.267 0.745 0.267
S 0.733 0.255 0.733
S 0.733 0.733 0.255
S 0.745 0.267 0.267
S 0.754 0.754 0.754
CELL_PARAMETERS angstrom
4.063 2.346 6.887
-4.063 2.346 6.887
0.000 -4.692 6.887
```

---

10.
A plane-wave DFT calculation with PBE-GGA was carried out for a relaxed structure of TlCdSn2Te. Values from VASP.

Results
Uncorrected formation energy = 0.328 eV per atom
Raw total energy = -0.188 Ry/atom
V = 172 Å³/f.u.

Cell and atoms, written as Quantum ESPRESSO input:
```
&SYSTEM
  ibrav = 0, nat = 5, ntyp = 4
/
ATOMIC_SPECIES
Tl 204.38 Tl.upf
Cd 112.41 Cd.upf
Sn 118.71 Sn.upf
Te 127.60 Te.upf
ATOMIC_POSITIONS crystal
Tl 0.000 0.000 0.000
Cd 0.000 0.000 0.500
Sn 0.000 0.500 0.500
Sn 0.500 0.000 0.500
Te 0.500 0.500 0.000
CELL_PARAMETERS angstrom
5.533 0.000 0.000
0.000 5.533 0.000
0.000 0.000 5.634
```

---

11.
A plane-wave DFT calculation with PBE-GGA was carried out for a relaxed structure of BaCd8HgAu2. Values from VASP.

Results
Raw total energy = -0.109 Ry/atom
Formation energy = -141 meV/atom
V = 308 Å³/f.u.

Cell and atoms, written as Quantum ESPRESSO input:
```
&SYSTEM
  ibrav = 0, nat = 12, ntyp = 4
/
ATOMIC_SPECIES
Ba 137.33 Ba.upf
Cd 112.41 Cd.upf
Hg 200.59 Hg.upf
Au 196.97 Au.upf
ATOMIC_POSITIONS crystal
Ba 0.000 0.000 0.000
Cd 0.070 0.567 0.263
Cd 0.309 0.309 0.511
Cd 0.322 0.322 0.998
Cd 0.433 0.930 0.737
Cd 0.567 0.070 0.263
Cd 0.678 0.678 0.002
Cd 0.691 0.691 0.489
Cd 0.930 0.433 0.737
Hg 0.000 0.000 0.500
Au 0.447 0.447 0.783
Au 0.553 0.553 0.217
CELL_PARAMETERS angstrom
5.271 -2.987 0.000
5.271 2.987 0.000
-2.759 0.000 9.780
```

---

Please write out number 11 again, unchanged.
A plane-wave DFT calculation with PBE-GGA was carried out for a relaxed structure of BaCd8HgAu2. Values from VASP.

Results
Raw total energy = -0.109 Ry/atom
Formation energy = -141 meV/atom
V = 308 Å³/f.u.

Cell and atoms, written as Quantum ESPRESSO input:
```
&SYSTEM
  ibrav = 0, nat = 12, ntyp = 4
/
ATOMIC_SPECIES
Ba 137.33 Ba.upf
Cd 112.41 Cd.upf
Hg 200.59 Hg.upf
Au 196.97 Au.upf
ATOMIC_POSITIONS crystal
Ba 0.000 0.000 0.000
Cd 0.070 0.567 0.263
Cd 0.309 0.309 0.511
Cd 0.322 0.322 0.998
Cd 0.433 0.930 0.737
Cd 0.567 0.070 0.263
Cd 0.678 0.678 0.002
Cd 0.691 0.691 0.489
Cd 0.930 0.433 0.737
Hg 0.000 0.000 0.500
Au 0.447 0.447 0.783
Au 0.553 0.553 0.217
CELL_PARAMETERS angstrom
5.271 -2.987 0.000
5.271 2.987 0.000
-2.759 0.000 9.780
```

---

> Which of these has the highest raw total energy?

Cd5In3Hg16

---

> What is the formula in the fifth record?

Rb3Pu2CrSe6